[1]
Computed, not measured: Er2Ni2Ag after structural relaxation at the PBE-GGA level of DFT.

Output
ρ = 9.81 g cm⁻³
offset from the most stable computed form = 6 meV/atom
formation enthalpy at 0 K = -10.040 kcal/mol of atoms
DOS(E_F) = 5.35 states/eV per cell
size of the total moment = 0.00 μB/f.u.

a b c (Å): 3.593 7.262 7.262
angles (deg): 90.00 90.00 90.00
Fractional positions:
Er  0.500  0.175  0.675
Er  0.500  0.675  0.825
Er  0.500  0.825  0.325
Er  0.500  0.325  0.175
Ni  0.000  0.380  0.880
Ni  0.000  0.880  0.620
Ni  0.000  0.620  0.120
Ni  0.000  0.120  0.380
Ag  0.000  0.000  0.000
Ag  0.000  0.500  0.500

=====

[2]
Computed, not measured: PmMgSc2Hg4 after structural relaxation at the PBE-GGA level of DFT.

Output
ρ = 9.47 g cm⁻³
formation enthalpy at 0 K = -8.999 kcal/mol of atoms
DOS(E_F) = 5.30 states/eV per cell
size of the total moment = 0.00 μB/f.u.

a b c (Å): 4.969 4.969 9.166
angles (deg): 74.27 74.27 60.00
Fractional positions:
Pm  0.000  0.000  0.000
Mg  0.500  0.500  0.500
Sc  0.757  0.757  0.728
Sc  0.243  0.243  0.272
Hg  0.385  0.385  0.846
Hg  0.874  0.874  0.379
Hg  0.126  0.126  0.621
Hg  0.615  0.615  0.154

=====

[3]
Computed, not measured: CuBiAuO4 after structural relaxation at the PBE-GGA level of DFT.

Output
ρ = 7.25 g cm⁻³
DOS(E_F) = 9.29 states/eV per cell
formation energy (no corrections) = -47.7 kJ per mole of atoms
size of the total moment = 0.21 μB/f.u.

a b c (Å): 6.282 7.232 7.142
angles (deg): 119.59 90.00 115.74
Site moments in Bohr magnetons follow the coordinates.
Fractional positions:
Cu  0.960  0.920  0.210  0.11
Cu  0.040  0.080  0.790  0.11
Bi  0.500  0.000  0.500  0.00
Bi  0.500  0.000  0.000  0.00
Au  0.500  0.500  0.500  0.00
Au  0.000  0.500  0.500  0.00
O  0.714  0.429  0.645  0.00
O  0.249  0.935  0.217  0.04
O  0.685  0.935  0.217  0.04
O  0.714  0.429  0.284  0.00
O  0.286  0.571  0.716  0.00
O  0.751  0.065  0.783  0.04
O  0.315  0.065  0.783  0.04
O  0.286  0.571  0.355  0.00

=====

[4]
Computed, not measured: TbPm4Pr8 after structural relaxation at the PBE-GGA level of DFT.

Output
ρ = 6.37 g cm⁻³
formation enthalpy at 0 K = 9.026 kcal/mol of atoms
DOS(E_F) = 27.48 states/eV per cell
size of the total moment = 0.00 μB/f.u.

a b c (Å): 11.946 11.946 7.942
angles (deg): 90.00 138.77 120.00
Fractional positions:
Tb  0.000  0.500  0.500
Pm  0.000  0.000  0.000
Pm  0.000  0.500  0.000
Pm  0.500  0.500  0.000
Pm  0.500  0.000  0.000
Pr  0.513  0.757  0.270
Pr  0.487  0.243  0.730
Pr  0.335  0.168  0.005
Pr  0.163  0.331  0.995
Pr  0.665  0.832  0.995
Pr  0.163  0.832  0.995
Pr  0.837  0.168  0.005
Pr  0.837  0.669  0.005

=====

Question: Which value of DOS(E_F) does entry 2 give?
Answer: 5.30 states/eV per cell

=====

Question: The highest size of the total moment belongs to which entry?
Answer: CuBiAuO4

=====

Question: Which of these has the highest ρ?
Answer: Er2Ni2Ag